Entry 1:
ZrTaOs2 | Alexandria via LeMat-Bulk | PBE | relaxed; VASP energy = -42.7 eV/cell; space-group type = C2/m (12)
1.0
4.610 0.002 -0.009
3.590 2.893 -0.009
1.042 0.368 5.252
Os Ta Zr
2 1 1
Direct
0.005 0.005 0.979
0.495 0.495 0.521
0.750 0.750 0.750
0.250 0.250 0.250


Entry 2:
Zr3TaOs | Alexandria via LeMat-Bulk | PBE | relaxed; energy above the lowest structure with this stoichiometry = 0.0 kJ/mol of atoms; space-group type = Pm-3m (221)
1.0
-2.065 -4.229 -1.674
3.423 -0.234 -3.630
2.995 -2.648 2.995
Os Zr Ta
1 3 1
Direct
0.000 0.000 0.000
0.000 0.500 0.000
0.000 0.000 0.500
0.500 0.000 0.000
0.500 0.500 0.500


Entry 3:
ZrTaOs2 | Alexandria via LeMat-Bulk | PBE | relaxed; VASP energy = -43.2 eV/cell; space-group type = I-4m2 (119)
1.0
5.321 -0.004 0.000
2.498 4.698 0.000
-3.909 -2.347 2.742
Os Ta Zr
2 1 1
Direct
0.000 0.000 0.000
0.250 0.750 0.500
0.500 0.500 0.000
0.750 0.250 0.500


Which formula does entry 1 have? ZrTaOs2